No. 1
K2MgZn | GGA-PBE | optimized geometry

Values from the calculation:
**ΔH_f (0 K)**: 249 meV per atom
**Energy relative to the lowest polymorph listed for this composition**: 137 meV per atom

Geometry as CIF:
```
data_K2MgZn
_cell_length_a 7.953
_cell_length_b 10.260
_cell_length_c 3.859
_cell_angle_alpha 90.00
_cell_angle_beta 90.52
_cell_angle_gamma 90.00
_space_group_name_H-M_alt 'C 1 2/m 1'
_space_group_IT_number 12
loop_
_space_group_symop_operation_xyz
'x,y,z'
'-x,-y,-z'
'-x,y,-z'
'x,-y,z'
'x+1/2,y+1/2,z'
'-x+1/2,-y+1/2,-z'
'-x+1/2,y+1/2,-z'
'x+1/2,-y+1/2,z'
loop_
_atom_site_label
_atom_site_type_symbol
_atom_site_fract_x
_atom_site_fract_y
_atom_site_fract_z
_atom_site_occupancy
K1 K 0.250 0.250 0.000 1
Mg1 Mg 0.000 0.000 0.500 1
Zn1 Zn 0.000 0.500 0.500 1
```

---

No. 2
Pm2TaReN6 | GGA-PBE | optimized geometry

Values from the calculation:
**VASP energy**: -9.28 eV per atom

Geometry as CIF:
```
data_Pm2TaReN6
_cell_length_a 5.597
_cell_length_b 5.682
_cell_length_c 9.691
_cell_angle_alpha 90.00
_cell_angle_beta 125.03
_cell_angle_gamma 90.00
_space_group_name_H-M_alt 'P 1 21/c 1'
_space_group_IT_number 14
loop_
_space_group_symop_operation_xyz
'x,y,z'
'-x,-y,-z'
'-x,y+1/2,-z+1/2'
'x,-y+1/2,z+1/2'
loop_
_atom_site_label
_atom_site_type_symbol
_atom_site_fract_x
_atom_site_fract_y
_atom_site_fract_z
_atom_site_occupancy
Pm1 Pm 0.242 0.045 0.250 1
Ta1 Ta 0.500 0.000 0.000 1
Re1 Re 0.000 0.000 0.500 1
N1 N 0.166 0.214 0.959 1
N2 N 0.242 0.706 0.960 1
N3 N 0.321 0.015 0.744 1
```

---

No. 3
ZrV2Tc2 | GGA-PBE | optimized geometry

Values from the calculation:
**ΔH_f (0 K)**: 55 meV per atom

Geometry as CIF:
```
data_ZrV2Tc2
_cell_length_a 4.019
_cell_length_b 4.019
_cell_length_c 10.642
_cell_angle_alpha 90.00
_cell_angle_beta 90.00
_cell_angle_gamma 90.00
_space_group_name_H-M_alt 'I 4/m m m'
_space_group_IT_number 139
_space_group_name_Hall '-I 4 2'
loop_
_atom_site_label
_atom_site_type_symbol
_atom_site_fract_x
_atom_site_fract_y
_atom_site_fract_z
_atom_site_occupancy
Zr1 Zr 0.000 0.000 0.000 1
V1 V 0.000 0.500 0.250 1
Tc1 Tc 0.000 0.000 0.381 1
```

---

No. 4
NaBO3 | GGA-PBE | optimized geometry

Values from the calculation:
**VASP energy**: -3.02 eV per atom

Geometry as CIF:
```
data_NaBO3
_cell_length_a 4.058
_cell_length_b 4.058
_cell_length_c 4.058
_cell_angle_alpha 90.00
_cell_angle_beta 90.00
_cell_angle_gamma 90.00
_space_group_name_H-M_alt 'P m -3 m'
_space_group_IT_number 221
_space_group_name_Hall '-P 4 2 3'
loop_
_atom_site_label
_atom_site_type_symbol
_atom_site_fract_x
_atom_site_fract_y
_atom_site_fract_z
_atom_site_occupancy
Na1 Na 0.000 0.000 0.000 1
B1 B 0.500 0.500 0.500 1
O1 O 0.000 0.000 0.500 1
```

---

Number 1: total magnetic moment 0.00 μB/f.u.. Number 2: total magnetic moment 0.00 μB/f.u.. Number 3: total magnetic moment 0.00 μB/f.u.. Number 4: total magnetic moment 4.00 μB/f.u..